! Sr2VReO6 PBE with a Hubbard U relaxed; values from VASP
! DFT total energy in eV for the cell shown: -152.23
! Crystal system: monoclinic
&SYSTEM
  ibrav = 0, nat = 20, ntyp = 4
/
ATOMIC_SPECIES
Sr 87.62 Sr.upf
V 50.94 V.upf
Re 186.21 Re.upf
O 16.00 O.upf
ATOMIC_POSITIONS crystal
Sr 0.249 0.005 0.250
Sr 0.249 0.495 0.750
Sr 0.751 0.505 0.250
Sr 0.751 0.995 0.750
V 0.000 0.000 0.500
V 0.000 0.500 0.000
Re 0.500 0.000 0.000
Re 0.500 0.500 0.500
O 0.225 0.239 0.982
O 0.225 0.261 0.482
O 0.244 0.743 0.982
O 0.244 0.757 0.482
O 0.292 0.001 0.757
O 0.292 0.499 0.257
O 0.708 0.501 0.743
O 0.708 0.999 0.243
O 0.756 0.243 0.518
O 0.756 0.257 0.018
O 0.775 0.739 0.518
O 0.775 0.761 0.018
CELL_PARAMETERS angstrom
5.617 0.000 0.000
0.000 5.597 0.000
-5.605 0.000 8.023